[1]
Material: RbNaPaO4
Method: DFT, PBE-GGA
State: relaxed

Computed properties:
Crystal system   tetragonal

a = 4.4434 Å, b = 4.4434 Å, c = 7.7045 Å
α = 106.76°, β = 106.76°, γ = 90.00°
Last column: nearest neighbours and their distance in Å.
Atoms (fractional coordinates):
O (0.9871, 0.4871, 0.9743)  2 Pa 2.22
O (0.8510, 0.8510, 0.7020)  1 Pa 2.00
O (0.4871, 0.9871, 0.9743)  2 Pa 2.22
O (0.1363, 0.1363, 0.2727)  1 Pa 2.02
Pa (0.9931, 0.9931, 0.9861)  6 O 2.00-2.22
Rb (0.6582, 0.6582, 0.3165)  1 O 2.71
Na (0.3870, 0.3870, 0.7741)  4 O 2.63

[2]
Material: RbNa2Pa2O7
Method: DFT, PBE-GGA
State: relaxed

Computed properties:
Crystal system   tetragonal

a = 4.4131 Å, b = 4.4143 Å, c = 10.5469 Å
α = 102.08°, β = 102.08°, γ = 90.00°
Last column: nearest neighbours and their distance in Å.
Atoms (fractional coordinates):
O (0.1085, 0.6085, 0.2170)  2 Pa 2.21
O (0.2893, 0.2893, 0.5786)  1 Pa 2.04
O (0.3914, 0.8914, 0.7828)  2 Pa 2.21
O (0.6086, 0.1086, 0.2172)  2 Pa 2.21
O (0.8915, 0.3914, 0.7830)  2 Pa 2.21
O (0.5000, 0.5000, 0.0000)  2 Pa 2.20
O (0.7107, 0.7107, 0.4214)  1 Pa 2.04
Rb (0.0000, 0.0000, 0.0000)  12 O 3.11-3.12
Na (0.7499, 0.2498, 0.4997)  4 O 2.34-2.35
Na (0.2502, 0.7502, 0.5004)  4 O 2.34-2.35
Pa (0.6093, 0.6092, 0.2185)  6 O 2.04-2.21
Pa (0.3907, 0.3907, 0.7815)  6 O 2.04-2.21

[3]
Material: Rb3Na2PaO6
Method: DFT, PBE-GGA
State: relaxed

Computed properties:
Crystal system   monoclinic

a = 6.2710 Å, b = 6.2710 Å, c = 6.7009 Å
α = 98.65°, β = 98.65°, γ = 120.11°
Last column: nearest neighbours and their distance in Å.
Atoms (fractional coordinates):
Rb (0.8215, 0.1785, 0.5000)  6 O 2.81-3.06
Rb (0.5000, 0.5000, 0.5000)  6 O 2.81-3.09
Rb (0.1785, 0.8215, 0.5000)  6 O 2.81-3.06
Na (0.6667, 0.3333, 0.0000)  6 O 2.53-2.60
Na (0.3333, 0.6667, 0.0000)  6 O 2.53-2.60
O (0.0634, 0.3463, 0.1846)  1 Pa 2.14
O (0.6537, 0.9366, 0.8154)  1 Pa 2.14
O (0.9366, 0.6537, 0.8154)  1 Pa 2.14
O (0.7840, 0.7840, 0.1942)  1 Pa 2.14
O (0.3463, 0.0634, 0.1846)  1 Pa 2.14
O (0.2160, 0.2160, 0.8058)  1 Pa 2.14
Pa (0.0000, 0.0000, 0.0000)  6 O 2.14

[4]
Material: NaPaReO6
Method: DFT, PBE-GGA
State: relaxed

Computed properties:
Crystal system   trigonal

a = 5.5911 Å, b = 5.5911 Å, c = 9.9988 Å
α = 90.00°, β = 90.00°, γ = 120.00°
Last column: nearest neighbours and their distance in Å.
Atoms (fractional coordinates):
O (0.6129, 0.9684, 0.8560)  1 Re 1.94
O (0.9684, 0.3555, 0.1440)  1 Re 1.94
O (0.3555, 0.9684, 0.6440)  1 Re 1.94
O (0.6445, 0.0316, 0.3560)  1 Re 1.94
O (0.0316, 0.3871, 0.6440)  1 Re 1.94
O (0.6445, 0.6129, 0.1440)  1 Re 1.94
O (0.9684, 0.6129, 0.3560)  1 Re 1.94
O (0.3871, 0.3555, 0.3560)  1 Re 1.94
O (0.3871, 0.0316, 0.1440)  1 Re 1.94
O (0.3555, 0.3871, 0.8560)  1 Re 1.94
O (0.6129, 0.6445, 0.6440)  1 Re 1.94
O (0.0316, 0.6445, 0.8560)  1 Re 1.94
Re (0.6667, 0.3333, 0.2500)  6 O 1.94
Re (0.3333, 0.6667, 0.7500)  6 O 1.94
Pa (0.6667, 0.3333, 0.7500)  6 O 2.18
Pa (0.3333, 0.6667, 0.2500)  6 O 2.18
Na (0.0000, 0.0000, 0.5000)  6 O 2.53
Na (0.0000, 0.0000, 0.0000)  6 O 2.53

[5]
Material: Na2PaReO6
Method: DFT, PBE-GGA
State: relaxed

Computed properties:
Crystal system   tetragonal

a = 4.2085 Å, b = 5.8597 Å, c = 5.8597 Å
α = 90.00°, β = 90.00°, γ = 90.00°
Last column: nearest neighbours and their distance in Å.
Atoms (fractional coordinates):
O (0.1862, 0.0000, 0.0000)  1 Re 1.87
O (0.6769, 0.2368, 0.2368)  1 Re 1.97, 1 Pa 2.18
O (0.6769, 0.7632, 0.2368)  1 Re 1.97, 1 Pa 2.18
O (0.6769, 0.2368, 0.7632)  1 Re 1.97, 1 Pa 2.18
O (0.1527, 0.5000, 0.5000)  2 Pa 2.09-2.12
O (0.6769, 0.7632, 0.7632)  1 Re 1.97, 1 Pa 2.18
Re (0.6300, 0.0000, 0.0000)  5 O 1.87-1.97
Na (0.0602, 0.5000, 0.0000)  4 O 2.63
Na (0.0602, 0.0000, 0.5000)  4 O 2.63
Pa (0.6500, 0.5000, 0.5000)  6 O 2.09-2.18

[6]
Material: Na4PaRh3O8
Method: DFT, PBE-GGA
State: relaxed

Computed properties:
Crystal system   monoclinic

a = 6.2390 Å, b = 6.5556 Å, c = 6.5711 Å
α = 117.76°, β = 118.34°, γ = 90.00°
Last column: nearest neighbours and their distance in Å.
Atoms (fractional coordinates):
O (0.2420, 0.2596, 0.9718)  1 Rh 2.13, 1 Pa 2.19, 2 Na 2.33-2.35
O (0.7298, 0.2596, 0.9718)  1 Rh 2.13, 1 Pa 2.19, 2 Na 2.33-2.35
O (0.2328, 0.7060, 0.4657)  2 Rh 2.14, 1 Pa 2.29
O (0.7142, 0.6718, 0.4283)  3 Rh 2.09-2.11
O (0.7580, 0.7404, 0.0282)  1 Rh 2.13, 1 Pa 2.19, 2 Na 2.33-2.35
O (0.2858, 0.3282, 0.5717)  3 Rh 2.09-2.11
O (0.7672, 0.2940, 0.5343)  2 Rh 2.14, 1 Pa 2.29
O (0.2702, 0.7404, 0.0282)  1 Rh 2.13, 1 Pa 2.19, 2 Na 2.33-2.35
Rh (0.5000, 0.5000, 0.0000)  6 O 2.11-2.13
Rh (0.0000, 0.5000, 0.5000)  4 O 2.09-2.14
Rh (0.5000, 0.5000, 0.5000)  4 O 2.09-2.14
Na (0.0000, 0.0000, 0.5000)  6 O 2.33-2.51
Na (0.5000, 0.0000, 0.5000)  6 O 2.33-2.51
Na (0.0000, 0.0000, 0.0000)  4 O 2.40
Na (0.5000, 0.0000, 0.0000)  4 O 2.35
Pa (0.0000, 0.5000, 0.0000)  6 O 2.19-2.29

[7]
Material: NaPaRhO4
Method: DFT, PBE-GGA
State: relaxed

Computed properties:
Crystal system   orthorhombic

a = 5.6490 Å, b = 7.2299 Å, c = 6.8206 Å
α = 118.14°, β = 90.00°, γ = 113.00°
Last column: nearest neighbours and their distance in Å.
Atoms (fractional coordinates):
O (0.6957, 0.3914, 0.6439)  2 Rh 2.05, 1 Pa 2.26
O (0.7606, 0.0657, 0.7828)  2 Pa 2.17, 1 Na 2.29
O (0.3051, 0.0657, 0.7828)  2 Pa 2.17, 1 Na 2.29
O (0.6957, 0.3914, 0.2474)  2 Rh 2.05, 1 Pa 2.26
O (0.3043, 0.6086, 0.7526)  2 Rh 2.05, 1 Pa 2.26
O (0.2394, 0.9343, 0.2172)  2 Pa 2.17, 1 Na 2.29
O (0.3043, 0.6086, 0.3561)  2 Rh 2.05, 1 Pa 2.26
O (0.6949, 0.9343, 0.2172)  2 Pa 2.17, 1 Na 2.29
Na (0.1808, 0.3616, 0.9308)  4 O 2.29-2.50
Na (0.8192, 0.6384, 0.0692)  4 O 2.29-2.50
Rh (0.0000, 0.5000, 0.5000)  4 O 2.05
Rh (0.5000, 0.5000, 0.5000)  4 O 2.05
Pa (0.5000, 0.0000, 0.0000)  6 O 2.17-2.26
Pa (0.5000, 0.0000, 0.5000)  6 O 2.17-2.26

[8]
Material: NaPaRh2O8
Method: DFT, PBE-GGA
State: relaxed

Computed properties:
Crystal system   trigonal

a = 5.7661 Å, b = 5.7661 Å, c = 7.1214 Å
α = 90.00°, β = 90.00°, γ = 120.00°
Last column: nearest neighbours and their distance in Å.
Atoms (fractional coordinates):
O (0.0765, 0.3767, 0.1259)  1 Rh 2.02, 1 Pa 2.18
O (0.3333, 0.6667, 0.7006)  1 Rh 1.78
O (0.9235, 0.6233, 0.8741)  1 Rh 2.02, 1 Pa 2.18
O (0.3002, 0.9235, 0.1259)  1 Rh 2.02, 1 Pa 2.18
O (0.6233, 0.6998, 0.1259)  1 Rh 2.02, 1 Pa 2.18
O (0.6667, 0.3333, 0.2994)  1 Rh 1.78
O (0.6998, 0.0765, 0.8741)  1 Rh 2.02, 1 Pa 2.18
O (0.3767, 0.3002, 0.8741)  1 Rh 2.02, 1 Pa 2.18
Na (0.0000, 0.0000, 0.5000)  12 O 3.32-3.62, 2 Pa 3.56
Pa (0.0000, 0.0000, 0.0000)  6 O 2.18
Rh (0.6667, 0.3333, 0.0488)  1 O 1.78
Rh (0.3333, 0.6667, 0.9512)  1 O 1.78

[9]
Material: Na2PaRhO6
Method: DFT, PBE-GGA
State: relaxed

Computed properties:
Crystal system   triclinic

a = 5.7181 Å, b = 5.7182 Å, c = 5.7347 Å
α = 60.06°, β = 60.09°, γ = 59.99°
Last column: nearest neighbours and their distance in Å.
Atoms (fractional coordinates):
O (0.4799, 0.6298, 0.8084)  1 Rh 1.98, 1 Pa 2.16
O (0.0803, 0.4795, 0.8101)  1 Rh 1.98, 1 Pa 2.16
O (0.6294, 0.0805, 0.8098)  1 Rh 1.98, 1 Pa 2.16
O (0.1525, 0.0026, 0.2944)  1 Rh 1.98, 1 Pa 2.16
O (0.5521, 0.1528, 0.2928)  1 Rh 1.98, 1 Pa 2.16
O (0.0030, 0.5520, 0.2930)  1 Rh 1.98, 1 Pa 2.16
Pa (0.8162, 0.8162, 0.5515)  6 O 2.16
Rh (0.3162, 0.3162, 0.0515)  6 O 1.98
Na (0.0701, 0.0702, 0.7888)  3 O 2.43
Na (0.5620, 0.5619, 0.3149)  3 O 2.43

[10]
Material: Na2PaRuO6
Method: DFT, PBE-GGA
State: relaxed

Computed properties:
Crystal system   trigonal

a = 5.7082 Å, b = 5.7084 Å, c = 5.7479 Å
α = 60.20°, β = 60.22°, γ = 59.99°
Last column: nearest neighbours and their distance in Å.
Atoms (fractional coordinates):
O (0.4767, 0.6310, 0.8109)  1 Ru 1.98, 1 Pa 2.17
O (0.1556, 0.0013, 0.2923)  1 Ru 1.98, 1 Pa 2.17
O (0.0803, 0.4766, 0.8120)  1 Ru 1.98, 1 Pa 2.17
O (0.6306, 0.0808, 0.8115)  1 Ru 1.97, 1 Pa 2.17
O (0.5519, 0.1556, 0.2912)  1 Ru 1.98, 1 Pa 2.17
O (0.0017, 0.5514, 0.2917)  1 Ru 1.98, 1 Pa 2.17
Na (0.5642, 0.5640, 0.3082)  3 O 2.42
Na (0.0683, 0.0685, 0.7944)  3 O 2.42
Pa (0.8162, 0.8162, 0.5515)  6 O 2.17
Ru (0.3162, 0.3162, 0.0515)  6 O 1.97-1.98

Formation energy from raw total energies / eV per atom: -2.409, -2.726, -1.895, -2.330, -2.243, -1.558, -2.187, -1.123, -1.969, -2.105
Volume / Å³/atom: 19.84, 16.35, 18.12, 15.04, 14.45, 12.54, 15.73, 17.09, 13.27, 13.28